Density functional theory data (PBE) for an optimized crystal structure of BaCdGe2.

Cell: 15.340 4.702 11.972 Å, 90.00 90.00 90.00°
Space group Pnma (No. 62)
Asymmetric unit:
Ba: 0.054 0.250 0.248 [4 per cell]
Ba: 0.199 0.750 0.980 [4 per cell]
Cd: 0.059 0.250 0.557 [4 per cell]
Cd: 0.197 0.750 0.681 [4 per cell]
Ge: 0.038 0.250 0.975 [4 per cell]
Ge: 0.109 0.250 0.784 [4 per cell]
Ge: 0.131 0.750 0.460 [4 per cell]
Ge: 0.218 0.750 0.274 [4 per cell]

Values from the calculation:
The energy relative to the elements comes out at -39 kJ per mole of atoms. As for the calculated total energy: -13.7 eV per formula unit.



Density functional theory data (PBE) for an optimized crystal structure of BaCd11Ge.

Cell: 6.036 14.555 7.749 Å, 90.00 112.78 90.00°
Space group C2/m (No. 12)
Asymmetric unit:
Ba: 0.000 0.000 0.000 [2 per cell]
Cd: 0.000 0.500 0.500 [2 per cell]
Cd: 0.108 0.391 0.219 [8 per cell]
Cd: 0.174 0.178 0.356 [8 per cell]
Cd: 0.250 0.250 0.000 [4 per cell]
Ge: 0.000 0.000 0.500 [2 per cell]

Values from the calculation:
The energy relative to the elements comes out at -10 kJ per mole of atoms. As for the calculated total energy: -17.9 eV per formula unit.